Record 1
A plane-wave DFT calculation with PBE was carried out for TmNpGe2 after structural relaxation.

- volume (Å³ per atom) = 22.4
- total energy (eV for the cell shown) = -83.650
- energy relative to the lowest polymorph listed for this composition (meV/atom) = 54

CIF file:
```
data_TmNpGe2
_chemical_formula_sum 'Tm3 Np3 Ge6'
_cell_length_a 4.7403
_cell_length_b 4.7403
_cell_length_c 13.8120
_cell_angle_alpha 90.00
_cell_angle_beta 90.00
_cell_angle_gamma 120.00
_space_group_name_H-M_alt 'R -3 m'
_space_group_IT_number 166
_space_group_name_Hall '-R 3 2"'
loop_
_atom_site_label
_atom_site_type_symbol
_atom_site_fract_x
_atom_site_fract_y
_atom_site_fract_z
Tm1 Tm 0.0000 0.0000 0.0000
Np1 Np 0.0000 0.0000 0.5000
Ge1 Ge 0.0000 0.0000 0.2494
```

=====

Record 2
A plane-wave DFT calculation with PBE was carried out for LaRuRh2 after structural relaxation.

- volume (Å³ per atom) = 18.0
- total energy (eV for the cell shown) = -114.573
- energy relative to the lowest polymorph listed for this composition (meV/atom) = 164

CIF file:
```
data_LaRuRh2
_chemical_formula_sum 'La4 Ru4 Rh8'
_cell_length_a 6.6037
_cell_length_b 6.6037
_cell_length_c 6.6037
_cell_angle_alpha 90.00
_cell_angle_beta 90.00
_cell_angle_gamma 90.00
_space_group_name_H-M_alt 'F -4 3 m'
_space_group_IT_number 216
_space_group_name_Hall 'F -4 2 3'
loop_
_atom_site_label
_atom_site_type_symbol
_atom_site_fract_x
_atom_site_fract_y
_atom_site_fract_z
La1 La 0.0000 0.0000 0.0000
Ru1 Ru 0.2500 0.2500 0.7500
Rh1 Rh 0.0000 0.0000 0.5000
Rh2 Rh 0.2500 0.2500 0.2500
```